(1)
A plane-wave DFT calculation with PBE was carried out for a relaxed HoGeTe3Au crystal.

The calculation puts the energy above the lowest structure with this stoichiometry at 0.086 eV per atom. Its crystal system is monoclinic.

The structure belongs to space group C2/m (No. 12); the cell edges are 19.758, 4.120 and 8.608 Å and the angles 90.00°, 100.52° and 90.00°. The distinct sites, in fractional coordinates, are Ho at (0.161, 0.000, 0.091), Ge at (0.119, 0.000, 0.566), Te at (0.000, 0.000, 0.000), Te at (0.000, 0.500, 0.500), Te at (0.176, 0.500, 0.836), Te at (0.188, 0.500, 0.367) and Au at (0.055, 0.500, 0.216).

***

(2)
A plane-wave DFT calculation with PBE was carried out for a relaxed HfSiMo crystal.

The calculation puts the energy above the lowest structure with this stoichiometry at 0.069 eV per atom. Its crystal system is hexagonal.

The structure belongs to space group P-62m (No. 189); the cell edges are 7.0464, 7.0464 and 3.4719 Å and the angles 90.00°, 90.00° and 120.00°. The distinct sites, in fractional coordinates, are Hf at (0.0000, 0.6024, 0.0000), Si at (0.0000, 0.0000, 0.0000), Si at (0.3333, 0.6667, 0.5000) and Mo at (0.0000, 0.2584, 0.5000).

***

(3)
A plane-wave DFT calculation with PBE was carried out for a relaxed CsNbPt crystal.

The calculation puts the energy above the lowest structure with this stoichiometry at 0.000 eV per atom. Its crystal system is cubic.

The structure belongs to space group F-43m (No. 216); the cell edges are 6.645, 6.645 and 6.645 Å and the angles 90.00°, 90.00° and 90.00°. The distinct sites, in fractional coordinates, are Cs at (0.000, 0.000, 0.000), Nb at (0.250, 0.250, 0.750) and Pt at (0.000, 0.000, 0.500).

***

(4)
A plane-wave DFT calculation with PBE was carried out for a relaxed KLaHgTe3 crystal.

Its crystal system is monoclinic.

The structure belongs to space group P2_1/m (No. 11); the cell edges are 9.225, 4.665 and 11.235 Å and the angles 90.00°, 105.41° and 90.00°. The distinct sites, in fractional coordinates, are K at (0.246, 0.250, 0.279), La at (0.310, 0.750, 0.862), Hg at (0.090, 0.250, 0.617), Te at (0.060, 0.250, 0.861), Te at (0.239, 0.750, 0.549) and Te at (0.456, 0.750, 0.154).

***

| no. | total DFT energy (no corrections) (eV/atom) | total moment (μB per atom) |
| --- | --- | --- |
| 1 | -4.16 | 0.003 |
| 2 | -9.38 | 0.006 |
| 3 | -4.49 | 0.000 |
| 4 | -3.64 | 0.000 |